This record from Alexandria via LeMat-Bulk describes a relaxed structure of CdFeMo2O8. The functional is GGA+U.

DOS at the Fermi energy = 0.00 states/eV/cell
Calculated volume = 14.2 A^3/atom
Magnetization = 0.333 μB per atom
Raw total energy = -6.4660 eV per atom

Geometry as CIF:
```
data_CdFeMo2O8
_chemical_formula_sum 'Cd2 Fe2 Mo4 O16'
_symmetry_space_group_name_H-M 'I -4 m 2'
_symmetry_Int_Tables_number 119
_symmetry_space_group_name_Hall 'I -4 -2'
_cell_length_a 7.086
_cell_length_b 7.086
_cell_length_c 6.799
_cell_angle_alpha 90.00
_cell_angle_beta 90.00
_cell_angle_gamma 90.00
loop_
_atom_site_label
_atom_site_type_symbol
_atom_site_fract_x
_atom_site_fract_y
_atom_site_fract_z
Cd1 Cd 0.000 0.000 0.000
Fe1 Fe 0.000 0.500 0.250
Mo1 Mo 0.000 0.000 0.500
Mo2 Mo 0.000 0.500 0.750
O1 O 0.000 0.206 0.344
O2 O 0.000 0.302 0.914
```